# MnAuI2O (PBE with a Hubbard U, relaxed)
# **Calculated density**: 6994 kg/m³
# **Energy above the lowest structure with this stoichiometry**: 0 meV per atom
data_MnAuI2O
_chemical_formula_sum 'Mn1 Au1 I2 O1'
_space_group_name_H-M_alt 'P 4/m m m'
_space_group_IT_number 123
_space_group_name_Hall '-P 4 2'
_cell_length_a 5.8107
_cell_length_b 5.8107
_cell_length_c 3.6687
_cell_angle_alpha 90.00
_cell_angle_beta 90.00
_cell_angle_gamma 90.00
loop_
_atom_site_label
_atom_site_fract_x
_atom_site_fract_y
_atom_site_fract_z
_atom_site_occupancy
Mn1 0.0000 0.0000 0.0000 1
Au1 0.5000 0.5000 0.5000 1
I1 0.0000 0.5000 0.0000 1
O1 0.0000 0.0000 0.5000 1